VASP calculation (PBEsol) on crystalline Ba3Li at its relaxed geometry.

crystal system: cubic
formation enthalpy at 0 K: 0.474 eV per atom

```
data_Ba3Li
_cell_length_a 6.628
_cell_length_b 6.628
_cell_length_c 6.628
_cell_angle_alpha 90.00
_cell_angle_beta 90.00
_cell_angle_gamma 90.00
_symmetry_space_group_name_H-M 'P 1'
_symmetry_Int_Tables_number 1
_symmetry_space_group_name_Hall 'P 1'
loop_
_atom_site_label
_atom_site_type_symbol
_atom_site_fract_x
_atom_site_fract_y
_atom_site_fract_z
Ba1 Ba 0.500 0.000 0.000
Ba2 Ba 0.000 0.500 0.000
Li1 Li 0.000 0.000 0.000
Ba3 Ba 0.000 0.000 0.500
```

VASP calculation (PBEsol) on crystalline Ba5Li at its relaxed geometry.

crystal system: hexagonal
formation enthalpy at 0 K: 0.080 eV per atom
energy above the most stable polymorph in this dataset: 53 meV/atom

```
data_Ba5Li
_cell_length_a 6.841
_cell_length_b 7.302
_cell_length_c 7.302
_cell_angle_alpha 120.00
_cell_angle_beta 90.00
_cell_angle_gamma 90.00
_symmetry_space_group_name_H-M 'P 1'
_symmetry_Int_Tables_number 1
_symmetry_space_group_name_Hall 'P 1'
loop_
_atom_site_label
_atom_site_type_symbol
_atom_site_fract_x
_atom_site_fract_y
_atom_site_fract_z
Ba1 Ba 0.500 0.333 0.667
Ba2 Ba 0.000 0.000 0.677
Ba3 Ba 0.500 0.667 0.333
Li1 Li 0.500 0.000 0.000
Ba4 Ba 0.000 0.323 0.323
Ba5 Ba 0.000 0.677 0.000
```

VASP calculation (PBEsol) on crystalline BaLi3 at its relaxed geometry.

crystal system: tetragonal
formation enthalpy at 0 K: 0.050 eV per atom

```
data_BaLi3
_cell_length_a 3.888
_cell_length_b 3.888
_cell_length_c 7.870
_cell_angle_alpha 90.00
_cell_angle_beta 90.00
_cell_angle_gamma 90.00
_symmetry_space_group_name_H-M 'P 1'
_symmetry_Int_Tables_number 1
_symmetry_space_group_name_Hall 'P 1'
loop_
_atom_site_label
_atom_site_type_symbol
_atom_site_fract_x
_atom_site_fract_y
_atom_site_fract_z
Li1 Li 0.500 0.500 0.680
Li2 Li 0.500 0.500 0.320
Ba1 Ba 0.000 0.000 0.000
Li3 Li 0.000 0.000 0.500
```

VASP calculation (PBEsol) on crystalline BaLi3 at its relaxed geometry.

crystal system: orthorhombic
formation enthalpy at 0 K: 0.045 eV per atom

```
data_BaLi3
_cell_length_a 5.204
_cell_length_b 6.894
_cell_length_c 7.044
_cell_angle_alpha 90.00
_cell_angle_beta 90.00
_cell_angle_gamma 90.00
_symmetry_space_group_name_H-M 'P 1'
_symmetry_Int_Tables_number 1
_symmetry_space_group_name_Hall 'P 1'
loop_
_atom_site_label
_atom_site_type_symbol
_atom_site_fract_x
_atom_site_fract_y
_atom_site_fract_z
Li1 Li 0.000 0.500 0.801
Li2 Li 0.000 0.779 0.111
Li3 Li 0.000 0.221 0.111
Li4 Li 0.500 0.279 0.889
Li5 Li 0.500 0.000 0.199
Li6 Li 0.500 0.721 0.889
Ba1 Ba 0.500 0.500 0.388
Ba2 Ba 0.000 0.000 0.612
```

The highest formation enthalpy at 0 K belongs to which entry?
Ba3Li